A relaxed structure of ZrIn2Re. Source: Alexandria via LeMat-Bulk, functional GGA-PBE.

The structure in CIF format:
```
data_ZrIn2Re
_space_group_name_H-M_alt 'P 4/m m m'
_space_group_IT_number 123
_space_group_name_Hall '-P 4 2'
_cell_length_a 4.171
_cell_length_b 4.171
_cell_length_c 4.532
_cell_angle_alpha 90.00
_cell_angle_beta 90.00
_cell_angle_gamma 90.00
loop_
_atom_site_label
_atom_site_fract_x
_atom_site_fract_y
_atom_site_fract_z
Zr1 0.000 0.000 0.000
In1 0.000 0.500 0.500
Re1 0.500 0.500 0.000
```

Summary:
Excess energy over the best structure of this formula in the dataset, meV per atom: 74.2

***

A relaxed structure of ZrIn2Re. Source: Alexandria via LeMat-Bulk, functional GGA-PBE.

The structure in CIF format:
```
data_ZrIn2Re
_space_group_name_H-M_alt 'P m m m'
_space_group_IT_number 47
_cell_length_a 2.986
_cell_length_b 4.444
_cell_length_c 5.935
_cell_angle_alpha 90.00
_cell_angle_beta 90.00
_cell_angle_gamma 90.00
loop_
_space_group_symop_operation_xyz
'x,y,z'
'-x,-y,-z'
'-x,-y,z'
'x,y,-z'
'x,-y,-z'
'-x,y,z'
'-x,y,-z'
'x,-y,z'
loop_
_atom_site_label
_atom_site_fract_x
_atom_site_fract_y
_atom_site_fract_z
Zr1 0.000 0.000 0.000
In1 0.500 0.500 0.263
Re1 0.000 0.000 0.500
```

Summary:
Excess energy over the best structure of this formula in the dataset, meV per atom: 167.7

***

A relaxed structure of ZrInRe2. Source: Alexandria via LeMat-Bulk, functional GGA-PBE.

The structure in CIF format:
```
data_ZrInRe2
_space_group_name_H-M_alt 'P 4/m m m'
_space_group_IT_number 123
_space_group_name_Hall '-P 4 2'
_cell_length_a 4.147
_cell_length_b 4.147
_cell_length_c 4.113
_cell_angle_alpha 90.00
_cell_angle_beta 90.00
_cell_angle_gamma 90.00
loop_
_atom_site_label
_atom_site_fract_x
_atom_site_fract_y
_atom_site_fract_z
Zr1 0.000 0.000 0.000
In1 0.500 0.500 0.000
Re1 0.000 0.500 0.500
```

Summary:
E_tot, eV per cell: -35.22

***

A relaxed structure of Zr2InRe. Source: Alexandria via LeMat-Bulk, functional GGA-PBE.

The structure in CIF format:
```
data_Zr2InRe
_space_group_name_H-M_alt 'I m m 2'
_space_group_IT_number 44
_cell_length_a 3.439
_cell_length_b 4.790
_cell_length_c 9.918
_cell_angle_alpha 90.00
_cell_angle_beta 90.00
_cell_angle_gamma 90.00
loop_
_space_group_symop_operation_xyz
'x,y,z'
'-x,-y,z'
'-x,y,z'
'x,-y,z'
'x+1/2,y+1/2,z+1/2'
'-x+1/2,-y+1/2,z+1/2'
'-x+1/2,y+1/2,z+1/2'
'x+1/2,-y+1/2,z+1/2'
loop_
_atom_site_label
_atom_site_fract_x
_atom_site_fract_y
_atom_site_fract_z
Zr1 0.000 0.000 0.000
Zr2 0.000 0.500 0.225
In1 0.000 0.500 0.776
Re1 0.000 0.000 0.511
```

Summary:
E_tot, eV per cell: -65.29

***

A relaxed structure of Zr6In2Re. Source: Alexandria via LeMat-Bulk, functional GGA-PBE.

The structure in CIF format:
```
data_Zr6In2Re
_space_group_name_H-M_alt 'I m m m'
_space_group_IT_number 71
_space_group_name_Hall '-I 2 2'
_cell_length_a 4.850
_cell_length_b 6.618
_cell_length_c 14.128
_cell_angle_alpha 90.00
_cell_angle_beta 90.00
_cell_angle_gamma 90.00
loop_
_atom_site_label
_atom_site_fract_x
_atom_site_fract_y
_atom_site_fract_z
Zr1 0.000 0.236 0.000
Zr2 0.000 0.255 0.349
In1 0.000 0.500 0.175
Re1 0.000 0.500 0.500
```

Summary:
E_tot, eV per cell: -135.73

***

A relaxed structure of Zr2InRe. Source: Alexandria via LeMat-Bulk, functional GGA-PBE.

The structure in CIF format:
```
data_Zr2InRe
_space_group_name_H-M_alt 'P 4 m m'
_space_group_IT_number 99
_cell_length_a 3.460
_cell_length_b 3.460
_cell_length_c 6.705
_cell_angle_alpha 90.00
_cell_angle_beta 90.00
_cell_angle_gamma 90.00
loop_
_space_group_symop_operation_xyz
'x,y,z'
'-y,x,z'
'-x,-y,z'
'y,-x,z'
'-x,y,z'
'y,x,z'
'x,-y,z'
'-y,-x,z'
loop_
_atom_site_label
_atom_site_fract_x
_atom_site_fract_y
_atom_site_fract_z
Zr1 0.000 0.000 0.000
Zr2 0.500 0.500 0.266
In1 0.000 0.000 0.548
Re1 0.500 0.500 0.790
```

Summary:
E_tot, eV per cell: -32.27

***

A relaxed structure of ZrInRe2. Source: Alexandria via LeMat-Bulk, functional GGA-PBE.

The structure in CIF format:
```
data_ZrInRe2
_space_group_name_H-M_alt 'P 1 2/m 1'
_space_group_IT_number 10
_cell_length_a 2.816
_cell_length_b 4.668
_cell_length_c 5.466
_cell_angle_alpha 90.00
_cell_angle_beta 98.80
_cell_angle_gamma 90.00
loop_
_space_group_symop_operation_xyz
'x,y,z'
'-x,-y,-z'
'-x,y,-z'
'x,-y,z'
loop_
_atom_site_label
_atom_site_fract_x
_atom_site_fract_y
_atom_site_fract_z
Zr1 0.000 0.000 0.000
In1 0.500 0.000 0.500
Re1 0.217 0.500 0.741
```

Summary:
E_tot, eV per cell: -35.03

***

A relaxed structure of ZrInRe2. Source: Alexandria via LeMat-Bulk, functional GGA-PBE.

The structure in CIF format:
```
data_ZrInRe2
_space_group_name_H-M_alt 'P 1 m 1'
_space_group_IT_number 6
_cell_length_a 3.017
_cell_length_b 4.039
_cell_length_c 5.919
_cell_angle_alpha 90.00
_cell_angle_beta 90.13
_cell_angle_gamma 90.00
loop_
_space_group_symop_operation_xyz
'x,y,z'
'x,-y,z'
loop_
_atom_site_label
_atom_site_fract_x
_atom_site_fract_y
_atom_site_fract_z
Zr1 0.000 0.000 0.000
In1 0.502 0.500 0.283
Re1 0.004 0.000 0.555
Re2 0.499 0.500 0.754
```

Summary:
E_tot, eV per cell: -35.54